Record 1
# Cd4FeSe

Cd4FeSe after structural relaxation (PBE, the Alexandria database).

a b c (Å): 5.713 5.713 5.713
angles (deg): 60.00 60.00 60.00
Each line ends with the local moment (μB).
Fractional positions:
Cd 0.375 0.375 0.375  -0.03
Cd 0.375 0.375 0.874  -0.03
Cd 0.375 0.874 0.375  -0.03
Cd 0.874 0.375 0.375  -0.03
Fe 0.750 0.750 0.750  3.07
Se 0.000 0.000 0.000  0.03

Values from the calculation:
**Total energy**: -12.6 eV/cell
**E_form (uncorrected)**: 3.028 eV/f.u.

---

Record 2
# Cd2FeSe

Cd2FeSe after structural relaxation (PBE, the Alexandria database).

a b c (Å): 9.359 9.359 9.359
angles (deg): 19.25 19.25 19.25
Each line ends with the local moment (μB).
Fractional positions:
Cd 0.994 0.994 0.994  -0.02
Cd 0.506 0.506 0.506  -0.02
Se 0.750 0.750 0.750  -0.01
Fe 0.250 0.250 0.250  2.77

Values from the calculation:
**Total energy**: -12.5 eV/cell
**E_form (uncorrected)**: 1.316 eV/f.u.

---

Record 3
# CdFe3Se

CdFe3Se after structural relaxation (PBE, the Alexandria database).

a b c (Å): 4.796 4.796 4.796
angles (deg): 90.00 90.00 90.00
Each line ends with the local moment (μB).
Fractional positions:
Se 0.500 0.500 0.500  0.12
Fe 0.000 0.500 0.000  3.04
Fe 0.500 0.000 0.000  2.63
Fe 0.000 0.000 0.500  3.35
Cd 0.000 0.000 0.000  -0.09

Values from the calculation:
**Energy above the lowest structure with this stoichiometry**: 994.5 meV per atom
**Total energy**: -22.0 eV/cell
**E_form (uncorrected)**: 7.745 eV/f.u.

---

Record 4
# Cd2FeSe

Cd2FeSe after structural relaxation (PBE, the Alexandria database).

a b c (Å): 4.791 4.791 4.791
angles (deg): 60.00 60.00 60.00
Each line ends with the local moment (μB).
Fractional positions:
Cd 0.000 0.000 0.000  -0.06
Cd 0.250 0.250 0.250  -0.05
Se 0.750 0.750 0.750  -0.05
Fe 0.500 0.500 0.500  2.64

Values from the calculation:
**Total energy**: -12.1 eV/cell
**E_form (uncorrected)**: 1.704 eV/f.u.